This record from Alexandria via LeMat-Bulk describes a relaxed Y3Np3WN8 crystal. The functional is PBE-GGA.

N(E_F) (states/eV/atom): 1.294
Total moment (μB/f.u.): 9.672
Uncorrected formation energy (eV per atom): -1.162

abc: 6.816 6.816 6.816
angles: 59.18 59.18 59.18
Fractional coordinates of all 15 atoms:
Y  0.000  0.500  0.500
Y  0.500  0.000  0.500
Y  0.500  0.500  0.000
Np  0.000  0.000  0.500
Np  0.000  0.500  0.000
Np  0.500  0.000  0.000
W  0.500  0.500  0.500
N  0.249  0.249  0.249
N  0.266  0.723  0.723
N  0.277  0.277  0.734
N  0.277  0.734  0.277
N  0.723  0.266  0.723
N  0.723  0.723  0.266
N  0.734  0.277  0.277
N  0.751  0.751  0.751



This record from Alexandria via LeMat-Bulk describes a relaxed Y3NpN4 crystal. The functional is PBE-GGA.

N(E_F) (states/eV/atom): 0.777
Total moment (μB/f.u.): 3.072
Uncorrected formation energy (eV per atom): -1.545

abc: 5.986 5.986 3.468
angles: 90.00 90.00 108.99
Fractional coordinates of all 8 atoms:
Y  0.000  0.000  0.000
Y  0.000  0.500  0.500
Y  0.500  0.000  0.500
Np  0.500  0.500  0.000
N  0.258  0.258  0.500
N  0.261  0.739  0.000
N  0.739  0.261  0.000
N  0.742  0.742  0.500



This record from Alexandria via LeMat-Bulk describes a relaxed YNp3N4 crystal. The functional is PBE-GGA.

N(E_F) (states/eV/atom): 1.683
Total moment (μB/f.u.): 10.093
Uncorrected formation energy (eV per atom): -1.246

abc: 5.987 5.987 5.987
angles: 131.76 131.76 70.60
Fractional coordinates of all 8 atoms:
Y  0.000  0.000  0.000
Np  0.250  0.750  0.500
Np  0.500  0.500  0.000
Np  0.750  0.250  0.500
N  0.000  0.500  0.500
N  0.254  0.254  0.000
N  0.500  0.000  0.500
N  0.746  0.746  0.000



This record from Alexandria via LeMat-Bulk describes a relaxed Y5Np3N8 crystal. The functional is PBE-GGA.

N(E_F) (states/eV/atom): 1.246
Total moment (μB/f.u.): 9.599
Uncorrected formation energy (eV per atom): -1.464

abc: 6.930 6.930 6.930
angles: 59.93 59.93 59.93
Fractional coordinates of all 16 atoms:
Y  0.000  0.000  0.000
Y  0.000  0.500  0.500
Y  0.500  0.000  0.500
Y  0.500  0.500  0.000
Y  0.500  0.500  0.500
Np  0.000  0.000  0.500
Np  0.000  0.500  0.000
Np  0.500  0.000  0.000
N  0.238  0.750  0.750
N  0.247  0.247  0.247
N  0.250  0.250  0.762
N  0.250  0.762  0.250
N  0.750  0.238  0.750
N  0.750  0.750  0.238
N  0.753  0.753  0.753
N  0.762  0.250  0.250



This record from Alexandria via LeMat-Bulk describes a relaxed Y2NpN3 crystal. The functional is PBE-GGA.

N(E_F) (states/eV/atom): 0.939
Total moment (μB/f.u.): 3.637
Uncorrected formation energy (eV per atom): -1.119

abc: 6.836 6.836 8.495
angles: 108.79 108.79 28.91
Fractional coordinates of all 12 atoms:
Y  0.168  0.168  0.336
Y  0.331  0.331  0.165
Y  0.669  0.669  0.835
Y  0.832  0.832  0.664
Np  0.000  0.000  0.500
Np  0.500  0.500  0.000
N  0.027  0.027  0.804
N  0.314  0.314  0.867
N  0.366  0.366  0.473
N  0.634  0.634  0.527
N  0.686  0.686  0.133
N  0.973  0.973  0.196



This record from Alexandria via LeMat-Bulk describes a relaxed Y4NpN5 crystal. The functional is PBE-GGA.

N(E_F) (states/eV/atom): 0.531
Total moment (μB/f.u.): 2.816
Uncorrected formation energy (eV per atom): -1.583

abc: 5.994 5.994 5.994
angles: 99.66 99.66 131.65
Fractional coordinates of all 10 atoms:
Y  0.099  0.700  0.799
Y  0.300  0.099  0.399
Y  0.700  0.901  0.601
Y  0.901  0.300  0.201
Np  0.500  0.500  0.000
N  0.000  0.000  0.000
N  0.214  0.406  0.621
N  0.406  0.786  0.192
N  0.594  0.214  0.808
N  0.786  0.594  0.379



This record from Alexandria via LeMat-Bulk describes a relaxed Y2NpN4 crystal. The functional is PBE-GGA.

N(E_F) (states/eV/atom): 0.374
Total moment (μB/f.u.): 1.002
Uncorrected formation energy (eV per atom): -1.443

abc: 5.828 9.670 3.523
angles: 90.00 90.00 90.00
Fractional coordinates of all 14 atoms:
Y  0.068  0.178  0.000
Y  0.432  0.678  0.000
Y  0.568  0.322  0.000
Y  0.932  0.822  0.000
Np  0.000  0.500  0.500
Np  0.500  0.000  0.500
N  0.140  0.694  0.500
N  0.229  0.453  0.000
N  0.271  0.953  0.000
N  0.360  0.194  0.500
N  0.640  0.806  0.500
N  0.729  0.047  0.000
N  0.771  0.547  0.000
N  0.860  0.306  0.500



This record from Alexandria via LeMat-Bulk describes a relaxed YNpN3 crystal. The functional is PBE-GGA.

N(E_F) (states/eV/atom): 0.647
Total moment (μB/f.u.): 1.000
Uncorrected formation energy (eV per atom): -1.136

abc: 6.658 6.658 6.658
angles: 90.00 90.00 90.00
Fractional coordinates of all 20 atoms:
Y  0.120  0.380  0.620
Y  0.380  0.620  0.120
Y  0.620  0.120  0.380
Y  0.880  0.880  0.880
Np  0.096  0.904  0.404
Np  0.404  0.096  0.904
Np  0.596  0.596  0.596
Np  0.904  0.404  0.096
N  0.023  0.706  0.150
N  0.150  0.023  0.706
N  0.206  0.350  0.977
N  0.294  0.650  0.477
N  0.350  0.977  0.206
N  0.477  0.294  0.650
N  0.523  0.794  0.850
N  0.650  0.477  0.294
N  0.706  0.150  0.023
N  0.794  0.850  0.523
N  0.850  0.523  0.794
N  0.977  0.206  0.350



This record from Alexandria via LeMat-Bulk describes a relaxed Y5NpN6 crystal. The functional is PBE-GGA.

N(E_F) (states/eV/atom): 0.577
Total moment (μB/f.u.): 2.827
Uncorrected formation energy (eV per atom): -1.605

abc: 6.002 6.002 5.997
angles: 99.58 99.58 120.02
Fractional coordinates of all 12 atoms:
Y  0.000  0.000  0.000
Y  0.166  0.834  0.500
Y  0.332  0.668  0.000
Y  0.668  0.332  0.000
Y  0.834  0.166  0.500
Np  0.500  0.500  0.500
N  0.100  0.419  0.257
N  0.262  0.262  0.739
N  0.419  0.100  0.257
N  0.581  0.900  0.743
N  0.738  0.738  0.261
N  0.900  0.581  0.743



This record from Alexandria via LeMat-Bulk describes a relaxed YNp5N6 crystal. The functional is PBE-GGA.

N(E_F) (states/eV/atom): 1.910
Total moment (μB/f.u.): 16.665
Uncorrected formation energy (eV per atom): -1.198

abc: 5.987 5.987 5.988
angles: 99.58 99.58 120.01
Fractional coordinates of all 12 atoms:
Y  0.000  0.000  0.000
Np  0.165  0.835  0.500
Np  0.333  0.667  0.000
Np  0.500  0.500  0.500
Np  0.667  0.333  0.000
Np  0.835  0.165  0.500
N  0.084  0.422  0.252
N  0.254  0.254  0.748
N  0.422  0.084  0.252
N  0.578  0.916  0.748
N  0.746  0.746  0.252
N  0.916  0.578  0.748



This record from Alexandria via LeMat-Bulk describes a relaxed YNpN2 crystal. The functional is PBE-GGA.

N(E_F) (states/eV/atom): 1.122
Total moment (μB/f.u.): 3.856
Uncorrected formation energy (eV per atom): -1.161

abc: 6.346 6.346 6.346
angles: 30.83 30.83 30.83
Fractional coordinates of all 4 atoms:
Y  0.000  0.000  0.000
Np  0.828  0.828  0.828
N  0.412  0.412  0.412
N  0.579  0.579  0.579



This record from Alexandria via LeMat-Bulk describes a relaxed Y2ZrNpN4 crystal. The functional is PBE-GGA.

N(E_F) (states/eV/atom): 0.864
Total moment (μB/f.u.): 3.160
Uncorrected formation energy (eV per atom): -1.556

abc: 5.890 3.406 5.901
angles: 90.00 109.04 90.00
Fractional coordinates of all 8 atoms:
Y  0.000  0.000  0.000
Y  0.500  0.500  0.000
Zr  0.000  0.500  0.500
Np  0.500  0.000  0.500
N  0.244  0.000  0.731
N  0.251  0.500  0.265
N  0.749  0.500  0.735
N  0.756  0.000  0.269